! SnW3C2 | OQMD | GGA-PBE | relaxed; values from VASP
&SYSTEM
  ibrav = 0, nat = 12, ntyp = 3
/
ATOMIC_SPECIES
W 183.84 W.upf
C 12.01 C.upf
Sn 118.71 Sn.upf
ATOMIC_POSITIONS angstrom
W 0.000 0.000 0.000
W 1.579 0.911 2.354
W 0.000 1.823 16.442
W 0.000 1.823 11.752
W 0.000 0.000 9.398
W 1.579 0.911 7.044
C 0.000 1.823 8.114
C 1.579 0.911 17.512
C 1.579 0.911 10.682
C 0.000 1.823 1.284
Sn 0.000 0.000 14.097
Sn 0.000 0.000 4.699
CELL_PARAMETERS angstrom
3.157 0.000 0.000
-1.579 2.734 0.000
0.000 0.000 18.796
! - symmetry = P6_3/mmc (194)
! - uncorrected energy (eV/atom) = -9.91
! - total magnetic moment (μB per cell) = 0.0
! - density (Mg/m³) = 14.2